Here is a relaxed CuTc2Ni crystal from Alexandria. Energies are from PBE-GGA.

Values from the calculation:
Its total moment is 0.00 Bohr magnetons per cell. Its formation enthalpy at 0 K is 1.661 eV/atom. The energy above the lowest structure with this stoichiometry is 1561 meV per atom.

Cell: 5.3140 5.3140 6.4650 Å, 65.73 65.73 90.00°
With the nearest neighbours (Å) after each atom.
Fractional coordinates of all 8 atoms:
Ni (0.5000, 0.5000, 0.0000)  4 Tc 2.25
Ni (0.2500, 0.7500, 0.5000)  4 Tc 2.25
Tc (0.6109, 0.1250, 0.2500)  2 Ni 2.25, 2 Cu 2.34
Tc (0.1391, 0.6250, 0.2500)  2 Ni 2.25, 2 Cu 2.34
Tc (0.3750, 0.3891, 0.7500)  2 Ni 2.25, 2 Cu 2.34
Tc (0.8750, 0.8609, 0.7500)  2 Ni 2.25, 2 Cu 2.34
Cu (0.0000, 0.0000, 0.0000)  4 Tc 2.34
Cu (0.7500, 0.2500, 0.5000)  4 Tc 2.34